Record 1
DFT (GGA-PBE) results for a geometry-optimized RbTlSn2 structure.

The mass density is 6.2 g/cm³. The crystal system is monoclinic. The value obtained for the size of the total moment is 0.00 μB per cell. The value obtained for the formation energy is -108 meV/atom.

Cell and atoms, written as CIF:
```
data_RbTlSn2
_cell_length_a 4.889
_cell_length_b 7.170
_cell_length_c 8.773
_cell_angle_alpha 99.55
_cell_angle_beta 90.00
_cell_angle_gamma 109.93
_symmetry_space_group_name_H-M 'P 1'
_symmetry_Int_Tables_number 1
loop_
_symmetry_equiv_pos_as_xyz
'x,y,z'
loop_
_atom_site_label
_atom_site_type_symbol
_atom_site_fract_x
_atom_site_fract_y
_atom_site_fract_z
Sn1 Sn 0.084 0.169 0.999
Sn2 Sn 0.720 0.439 0.060
Sn3 Sn 0.644 0.287 0.706
Sn4 Sn 0.785 0.570 0.479
Rb1 Rb 0.440 0.880 0.270
Rb2 Rb 0.364 0.727 0.822
Tl1 Tl 0.158 0.317 0.367
Tl2 Tl 0.010 0.019 0.615
```

=====

Record 2
DFT (GGA-PBE) results for a geometry-optimized Cs3K12Ag structure.

The mass density is 1.4 g/cm³. The crystal system is tetragonal. The value obtained for the size of the total moment is 0.00 μB per cell. The value obtained for the formation energy is 43 meV/atom.

Cell and atoms, written as CIF:
```
data_Cs3K12Ag
_cell_length_a 6.721
_cell_length_b 6.721
_cell_length_c 25.578
_cell_angle_alpha 90.00
_cell_angle_beta 90.00
_cell_angle_gamma 90.00
_symmetry_space_group_name_H-M 'P 1'
_symmetry_Int_Tables_number 1
loop_
_symmetry_equiv_pos_as_xyz
'x,y,z'
loop_
_atom_site_label
_atom_site_type_symbol
_atom_site_fract_x
_atom_site_fract_y
_atom_site_fract_z
K1 K 0.500 0.000 0.912
K2 K 0.000 0.500 0.361
K3 K 0.000 0.500 0.088
K4 K 0.500 0.000 0.361
K5 K 0.500 0.500 0.500
K6 K 0.500 0.000 0.088
K7 K 0.000 0.500 0.639
K8 K 0.500 0.500 0.775
K9 K 0.500 0.000 0.639
K10 K 0.500 0.500 0.225
K11 K 0.000 0.500 0.912
K12 K 0.500 0.500 0.000
Cs1 Cs 0.000 0.000 0.221
Cs2 Cs 0.000 0.000 0.779
Cs3 Cs 0.000 0.000 0.500
Ag1 Ag 0.000 0.000 0.000
```

=====

Record 3
DFT (GGA-PBE) results for a geometry-optimized TiOsF3 structure.

The mass density is 6.4 g/cm³. The crystal system is cubic. The value obtained for the size of the total moment is 0.14 μB per cell. The value obtained for the raw formation energy is -11 kJ/mol of atoms.

Cell and atoms, written as CIF:
```
data_TiOsF3
_cell_length_a 4.238
_cell_length_b 4.238
_cell_length_c 4.238
_cell_angle_alpha 90.00
_cell_angle_beta 90.00
_cell_angle_gamma 90.00
_symmetry_space_group_name_H-M 'P 1'
_symmetry_Int_Tables_number 1
loop_
_symmetry_equiv_pos_as_xyz
'x,y,z'
loop_
_atom_site_label
_atom_site_type_symbol
_atom_site_fract_x
_atom_site_fract_y
_atom_site_fract_z
F1 F 0.000 0.500 0.000
F2 F 0.500 0.000 0.000
F3 F 0.000 0.000 0.500
Ti1 Ti 0.500 0.500 0.500
Os1 Os 0.000 0.000 0.000
```

=====

Record 4
DFT (GGA-PBE) results for a geometry-optimized LiYSn3 structure.

The mass density is 6.1 g/cm³. The crystal system is monoclinic. The value obtained for the size of the total moment is 0.00 μB per cell. The value obtained for the formation energy is -415 meV/atom.

Cell and atoms, written as CIF:
```
data_LiYSn3
_cell_length_a 6.153
_cell_length_b 6.184
_cell_length_c 13.020
_cell_angle_alpha 90.00
_cell_angle_beta 90.00
_cell_angle_gamma 89.92
_symmetry_space_group_name_H-M 'P 1'
_symmetry_Int_Tables_number 1
loop_
_symmetry_equiv_pos_as_xyz
'x,y,z'
loop_
_atom_site_label
_atom_site_type_symbol
_atom_site_fract_x
_atom_site_fract_y
_atom_site_fract_z
Sn1 Sn 0.681 0.750 0.082
Sn2 Sn 0.250 0.000 0.503
Sn3 Sn 0.000 0.750 0.265
Sn4 Sn 0.500 0.250 0.265
Sn5 Sn 0.819 0.250 0.082
Sn6 Sn 0.500 0.750 0.735
Sn7 Sn 0.319 0.250 0.918
Sn8 Sn 0.750 0.000 0.497
Sn9 Sn 0.250 0.500 0.503
Sn10 Sn 0.181 0.750 0.918
Sn11 Sn 0.750 0.500 0.497
Sn12 Sn 0.000 0.250 0.735
Y1 Y 0.005 0.250 0.311
Y2 Y 0.495 0.750 0.311
Y3 Y 0.995 0.750 0.689
Y4 Y 0.505 0.250 0.689
Li1 Li 0.750 0.000 0.892
Li2 Li 0.750 0.500 0.892
Li3 Li 0.250 0.500 0.108
Li4 Li 0.250 0.000 0.108
```

=====

Record 5
DFT (GGA-PBE) results for a geometry-optimized La3PPd structure.

The mass density is 5.4 g/cm³. The crystal system is cubic. The value obtained for the size of the total moment is 0.00 μB per cell. The value obtained for the formation energy is -404 meV/atom.

Cell and atoms, written as CIF:
```
data_La3PPd
_cell_length_a 5.531
_cell_length_b 5.531
_cell_length_c 5.531
_cell_angle_alpha 90.00
_cell_angle_beta 90.00
_cell_angle_gamma 90.00
_symmetry_space_group_name_H-M 'P 1'
_symmetry_Int_Tables_number 1
loop_
_symmetry_equiv_pos_as_xyz
'x,y,z'
loop_
_atom_site_label
_atom_site_type_symbol
_atom_site_fract_x
_atom_site_fract_y
_atom_site_fract_z
La1 La 0.500 0.000 0.000
La2 La 0.000 0.000 0.500
La3 La 0.000 0.500 0.000
P1 P 0.000 0.000 0.000
Pd1 Pd 0.500 0.500 0.500
```

=====

Record 6
DFT (GGA-PBE) results for a geometry-optimized MnTc2 structure.

The mass density is 10.4 g/cm³. The crystal system is monoclinic. The value obtained for the size of the total moment is 0.00 μB per cell. The value obtained for the formation energy is 61 meV/atom.

Cell and atoms, written as CIF:
```
data_MnTc2
_cell_length_a 2.703
_cell_length_b 5.083
_cell_length_c 6.267
_cell_angle_alpha 75.65
_cell_angle_beta 90.00
_cell_angle_gamma 105.42
_symmetry_space_group_name_H-M 'P 1'
_symmetry_Int_Tables_number 1
loop_
_symmetry_equiv_pos_as_xyz
'x,y,z'
loop_
_atom_site_label
_atom_site_type_symbol
_atom_site_fract_x
_atom_site_fract_y
_atom_site_fract_z
Tc1 Tc 0.726 0.453 0.060
Tc2 Tc 0.680 0.361 0.658
Tc3 Tc 0.042 0.084 0.398
Tc4 Tc 0.996 0.992 0.996
Mn1 Mn 0.335 0.671 0.334
Mn2 Mn 0.387 0.773 0.721
```

=====

Record 7
DFT (GGA-PBE) results for a geometry-optimized Tl4Hg12Pb structure.

The mass density is 11.6 g/cm³. The crystal system is cubic. The value obtained for the size of the total moment is 0.00 μB per cell. The value obtained for the formation energy is 13 meV/atom.

Cell and atoms, written as CIF:
```
data_Tl4Hg12Pb
_cell_length_a 8.610
_cell_length_b 8.610
_cell_length_c 8.610
_cell_angle_alpha 109.47
_cell_angle_beta 109.47
_cell_angle_gamma 109.47
_symmetry_space_group_name_H-M 'P 1'
_symmetry_Int_Tables_number 1
loop_
_symmetry_equiv_pos_as_xyz
'x,y,z'
loop_
_atom_site_label
_atom_site_type_symbol
_atom_site_fract_x
_atom_site_fract_y
_atom_site_fract_z
Tl1 Tl 0.000 0.000 0.500
Tl2 Tl 0.500 0.000 0.000
Tl3 Tl 0.000 0.500 0.000
Tl4 Tl 0.500 0.500 0.500
Hg1 Hg 0.307 0.307 0.000
Hg2 Hg 0.750 0.500 0.250
Hg3 Hg 0.000 0.307 0.307
Hg4 Hg 0.307 0.000 0.307
Hg5 Hg 0.250 0.500 0.750
Hg6 Hg 0.500 0.750 0.250
Hg7 Hg 0.250 0.750 0.500
Hg8 Hg 0.500 0.250 0.750
Hg9 Hg 0.693 0.000 0.693
Hg10 Hg 0.693 0.693 0.000
Hg11 Hg 0.750 0.250 0.500
Hg12 Hg 0.000 0.693 0.693
Pb1 Pb 0.000 0.000 0.000
```

=====

Record 8
DFT (GGA-PBE) results for a geometry-optimized SnIrS structure.

The mass density is 8.8 g/cm³. The crystal system is monoclinic. The value obtained for the size of the total moment is 0.00 μB per cell. The value obtained for the raw formation energy is -1 kJ/mol of atoms.

Cell and atoms, written as CIF:
```
data_SnIrS
_cell_length_a 3.643
_cell_length_b 3.978
_cell_length_c 4.496
_cell_angle_alpha 81.32
_cell_angle_beta 89.95
_cell_angle_gamma 90.00
_symmetry_space_group_name_H-M 'P 1'
_symmetry_Int_Tables_number 1
loop_
_symmetry_equiv_pos_as_xyz
'x,y,z'
loop_
_atom_site_label
_atom_site_type_symbol
_atom_site_fract_x
_atom_site_fract_y
_atom_site_fract_z
Sn1 Sn 0.884 0.662 0.885
Ir1 Ir 0.384 0.163 0.785
S1 S 0.384 0.319 0.280
```

=====

Record 9
DFT (GGA-PBE) results for a geometry-optimized Na2NbCl7 structure.

The mass density is 1.9 g/cm³. The crystal system is monoclinic. The value obtained for the size of the total moment is 0.00 μB per cell. The value obtained for the raw formation energy is -131 kJ/mol of atoms.

Cell and atoms, written as CIF:
```
data_Na2NbCl7
_cell_length_a 8.085
_cell_length_b 9.922
_cell_length_c 10.116
_cell_angle_alpha 84.43
_cell_angle_beta 66.45
_cell_angle_gamma 65.96
_symmetry_space_group_name_H-M 'P 1'
_symmetry_Int_Tables_number 1
loop_
_symmetry_equiv_pos_as_xyz
'x,y,z'
loop_
_atom_site_label
_atom_site_type_symbol
_atom_site_fract_x
_atom_site_fract_y
_atom_site_fract_z
Cl1 Cl 0.289 0.092 0.684
Cl2 Cl 0.935 0.592 0.184
Cl3 Cl 0.989 0.988 0.690
Cl4 Cl 0.824 0.198 0.995
Cl5 Cl 0.017 0.302 0.505
Cl6 Cl 0.666 0.512 0.810
Cl7 Cl 0.711 0.908 0.316
Cl8 Cl 0.983 0.698 0.495
Cl9 Cl 0.610 0.250 0.750
Cl10 Cl 0.011 0.012 0.310
Cl11 Cl 0.390 0.750 0.250
Cl12 Cl 0.065 0.408 0.816
Cl13 Cl 0.334 0.488 0.190
Cl14 Cl 0.176 0.802 0.005
Na1 Na 0.705 0.018 0.572
Na2 Na 0.294 0.482 0.928
Na3 Na 0.706 0.518 0.072
Na4 Na 0.295 0.982 0.428
Nb1 Nb 0.926 0.250 0.750
Nb2 Nb 0.074 0.750 0.250
```

=====

Record 10
DFT (GGA-PBE) results for a geometry-optimized Li2SmHg structure.

The mass density is 6.7 g/cm³. The crystal system is cubic. The value obtained for the size of the total moment is 0.00 μB per cell. The value obtained for the formation energy is -203 meV/atom.

Cell and atoms, written as CIF:
```
data_Li2SmHg
_cell_length_a 5.037
_cell_length_b 5.037
_cell_length_c 5.042
_cell_angle_alpha 60.03
_cell_angle_beta 60.03
_cell_angle_gamma 60.00
_symmetry_space_group_name_H-M 'P 1'
_symmetry_Int_Tables_number 1
loop_
_symmetry_equiv_pos_as_xyz
'x,y,z'
loop_
_atom_site_label
_atom_site_type_symbol
_atom_site_fract_x
_atom_site_fract_y
_atom_site_fract_z
Li1 Li 0.250 0.250 0.249
Li2 Li 0.000 0.000 0.000
Hg1 Hg 0.750 0.750 0.751
Sm1 Sm 0.500 0.500 0.500
```

=====

Record 11
DFT (GGA-PBE) results for a geometry-optimized Tl3CrMo structure.

The mass density is 8.2 g/cm³. The crystal system is cubic. The value obtained for the size of the total moment is 4.49 μB per cell. The value obtained for the formation energy is 1087 meV/atom.

Cell and atoms, written as CIF:
```
data_Tl3CrMo
_cell_length_a 5.370
_cell_length_b 5.370
_cell_length_c 5.370
_cell_angle_alpha 90.00
_cell_angle_beta 90.00
_cell_angle_gamma 90.00
_symmetry_space_group_name_H-M 'P 1'
_symmetry_Int_Tables_number 1
loop_
_symmetry_equiv_pos_as_xyz
'x,y,z'
loop_
_atom_site_label
_atom_site_type_symbol
_atom_site_fract_x
_atom_site_fract_y
_atom_site_fract_z
Tl1 Tl 0.000 0.000 0.500
Tl2 Tl 0.500 0.000 0.000
Tl3 Tl 0.000 0.500 0.000
Mo1 Mo 0.000 0.000 0.000
Cr1 Cr 0.500 0.500 0.500
```

=====

Record 12
DFT (GGA-PBE) results for a geometry-optimized PaPdPtRh structure.

The mass density is 15.1 g/cm³. The crystal system is orthorhombic. The value obtained for the size of the total moment is 0.00 μB per cell. The value obtained for the formation energy is -983 meV/atom.

Cell and atoms, written as CIF:
```
data_PaPdPtRh
_cell_length_a 4.058
_cell_length_b 4.033
_cell_length_c 4.272
_cell_angle_alpha 90.00
_cell_angle_beta 90.00
_cell_angle_gamma 90.00
_symmetry_space_group_name_H-M 'P 1'
_symmetry_Int_Tables_number 1
loop_
_symmetry_equiv_pos_as_xyz
'x,y,z'
loop_
_atom_site_label
_atom_site_type_symbol
_atom_site_fract_x
_atom_site_fract_y
_atom_site_fract_z
Rh1 Rh 0.500 0.000 0.500
Pa1 Pa 0.000 0.500 0.500
Pd1 Pd 0.500 0.500 0.000
Pt1 Pt 0.000 0.000 0.000
```